[1]
A plane-wave DFT calculation with GGA-PBE was carried out for a relaxed structure of USO.

Properties
**Formation energy from raw total energies**: -2.15 eV/atom
**Total energy**: -53.64 eV per cell
**N(E_F)**: 1.23 states/eV/atom
**Total magnetization**: 1.96 μB/f.u.

Cell: 7.501 7.501 7.501 Å, 151.45 151.45 40.82°
Fractional coordinates of all 6 atoms:
U (0.105, 0.105, 0.000)
U (0.895, 0.895, 0.000)
S (0.316, 0.316, 0.000)
S (0.684, 0.684, 0.000)
O (0.000, 0.500, 0.500)
O (0.500, 0.000, 0.500)

[2]
A plane-wave DFT calculation with GGA-PBE was carried out for a relaxed structure of ReAs2Au.

Properties
**Polymorph energy (0 for the lowest one)**: 0.75 eV/f.u.
**DFT formation energy**: 1.49 eV/f.u.
**Total energy**: -23.54 eV per cell
**N(E_F)**: 0.52 states/eV/atom
**Total magnetization**: 0.00 μB/f.u.

Cell: 2.747 4.160 6.953 Å, 90.00 90.08 90.00°
Fractional coordinates of all 4 atoms:
Re (0.000, 0.000, 0.000)
As (0.001, 0.000, 0.379)
As (0.999, 0.500, 0.787)
Au (0.501, 0.500, 0.207)

[3]
A plane-wave DFT calculation with GGA-PBE was carried out for a relaxed structure of MgRhSe3.

Properties
**Polymorph energy (0 for the lowest one)**: 0.00 eV/f.u.
**Formation energy from raw total energies**: 0.08 eV/atom
**Total energy**: -18.98 eV per cell
**N(E_F)**: 1.35 states/eV/atom
**Total magnetization**: 0.81 μB/f.u.

Cell: 4.918 4.918 4.918 Å, 90.00 90.00 90.00°
Fractional coordinates of all 5 atoms:
Mg (0.000, 0.000, 0.000)
Rh (0.500, 0.500, 0.500)
Se (0.000, 0.500, 0.500)
Se (0.500, 0.000, 0.500)
Se (0.500, 0.500, 0.000)

[4]
A plane-wave DFT calculation with GGA-PBE was carried out for a relaxed structure of K2CoHgSb.

Properties
**Formation energy from raw total energies**: 0.14 eV/atom
**Total energy**: -13.02 eV per cell
**N(E_F)**: 0.58 states/eV/atom
**Total magnetization**: 1.87 μB/f.u.

Cell: 6.760 6.760 4.795 Å, 90.00 90.00 90.00°
Fractional coordinates of all 5 atoms:
K (0.000, 0.500, 0.000)
K (0.500, 0.000, 0.000)
Co (0.000, 0.000, 0.500)
Hg (0.500, 0.500, 0.500)
Sb (0.000, 0.000, 0.000)

[5]
A plane-wave DFT calculation with GGA-PBE was carried out for a relaxed structure of SbC4.

Properties
**Polymorph energy (0 for the lowest one)**: 15.57 eV/f.u.
**Formation energy from raw total energies**: 4.17 eV/atom
**Total energy**: -20.18 eV per cell
**N(E_F)**: 0.60 states/eV/atom
**Total magnetization**: 0.29 μB/f.u.

Cell: 4.237 4.237 4.237 Å, 90.00 90.00 90.00°
Fractional coordinates of all 5 atoms:
Sb (0.000, 0.000, 0.000)
C (0.000, 0.000, 0.500)
C (0.000, 0.500, 0.000)
C (0.500, 0.000, 0.000)
C (0.500, 0.500, 0.500)

[6]
A plane-wave DFT calculation with GGA-PBE was carried out for a relaxed structure of PuTaMn4.

Properties
**DFT formation energy**: 0.54 eV/f.u.
**Total energy**: -62.32 eV per cell
**N(E_F)**: 2.59 states/eV/atom
**Total magnetization**: 2.19 μB/f.u.

Cell: 4.930 4.930 4.930 Å, 60.00 60.00 60.00°
Fractional coordinates of all 6 atoms:
Pu (0.000, 0.000, 0.000)
Ta (0.750, 0.750, 0.750)
Mn (0.376, 0.376, 0.376)
Mn (0.376, 0.376, 0.873)
Mn (0.376, 0.873, 0.376)
Mn (0.873, 0.376, 0.376)

[7]
A plane-wave DFT calculation with GGA-PBE was carried out for a relaxed structure of PuU2Ge.

Properties
**Polymorph energy (0 for the lowest one)**: 0.00 eV/f.u.
**DFT formation energy**: -0.66 eV/f.u.
**Total energy**: -42.19 eV per cell
**N(E_F)**: 2.62 states/eV/atom
**Total magnetization**: 2.84 μB/f.u.

Cell: 4.264 4.264 4.443 Å, 90.00 90.00 90.00°
Fractional coordinates of all 4 atoms:
Pu (0.000, 0.000, 0.000)
U (0.000, 0.500, 0.500)
U (0.500, 0.000, 0.500)
Ge (0.500, 0.500, 0.000)

[8]
A plane-wave DFT calculation with GGA-PBE was carried out for a relaxed structure of La12Pm5Dy2.

Properties
**Polymorph energy (0 for the lowest one)**: 0.00 eV/f.u.
**DFT formation energy**: 1.60 eV/f.u.
**Total energy**: -90.49 eV per cell
**N(E_F)**: 1.56 states/eV/atom
**Total magnetization**: 0.00 μB/f.u.

Cell: 6.354 10.917 10.962 Å, 66.32 79.72 79.40°
Fractional coordinates of all 19 atoms:
La (0.005, 0.383, 0.385)
La (0.199, 0.046, 0.565)
La (0.200, 0.561, 0.048)
La (0.271, 0.946, 0.946)
La (0.376, 0.350, 0.857)
La (0.381, 0.856, 0.355)
La (0.619, 0.144, 0.645)
La (0.624, 0.650, 0.143)
La (0.729, 0.054, 0.054)
La (0.800, 0.439, 0.952)
La (0.801, 0.954, 0.435)
La (0.995, 0.617, 0.615)
Pm (0.146, 0.179, 0.180)
Pm (0.441, 0.713, 0.716)
Pm (0.500, 0.500, 0.500)
Pm (0.559, 0.287, 0.284)
Pm (0.854, 0.821, 0.820)
Dy (0.009, 0.733, 0.265)
Dy (0.991, 0.267, 0.735)